! TbCeNdEr | Alexandria via LeMat-Bulk | PBE | optimized geometry; values from VASP
! space-group type = No. 216
! crystal system = cubic
&SYSTEM
  ibrav = 0, nat = 4, ntyp = 4
/
ATOMIC_SPECIES
Nd 144.24 Nd.upf
Tb 158.93 Tb.upf
Ce 140.12 Ce.upf
Er 167.26 Er.upf
CELL_PARAMETERS angstrom
5.6856 0.0000 0.0000
2.8428 4.9239 0.0000
2.8428 1.6413 4.6423
ATOMIC_POSITIONS crystal
Nd 0.2500 0.2500 0.2500
Tb 0.5000 0.5000 0.5000
Ce 0.7500 0.7500 0.7500
Er 0.0000 0.0000 0.0000


! TbCeNd2Er | Alexandria via LeMat-Bulk | PBE | optimized geometry; values from VASP
! space-group type = No. 13
! crystal system = monoclinic
&SYSTEM
  ibrav = 0, nat = 10, ntyp = 4
/
ATOMIC_SPECIES
Tb 158.93 Tb.upf
Ce 140.12 Ce.upf
Nd 144.24 Nd.upf
Er 167.26 Er.upf
CELL_PARAMETERS angstrom
-0.4135 0.6567 8.1173
4.1227 -5.2786 0.6371
4.8042 3.7883 -0.0617
ATOMIC_POSITIONS crystal
Tb 0.6451 0.0000 0.2500
Tb 0.3549 0.0000 0.7500
Ce 0.0000 0.0000 0.0000
Ce 0.0000 0.0000 0.5000
Nd 0.6900 0.7351 0.7478
Nd 0.6900 0.2649 0.7522
Nd 0.3100 0.7351 0.2478
Nd 0.3100 0.2649 0.2522
Er 0.1240 0.5000 0.7500
Er 0.8760 0.5000 0.2500


Number 1: ΔH_f (0 K) 65 kJ/mol of formula units, DOS at the Fermi energy 2.6015 states/eV per atom, uncorrected energy -19.224 eV for the cell shown. Number 2: ΔH_f (0 K) 135 kJ/mol of formula units, DOS at the Fermi energy 2.2711 states/eV per atom, uncorrected energy -46.521 eV for the cell shown.